Record 1
## Nd8Ag2Pt (PBE-GGA)

Data for an optimized crystal structure of Nd8Ag2Pt.

Lattice parameters (Å, degrees): 5.2574 7.0316 9.5186 101.02 106.03 90.00
Last column: nearest neighbours and their distance in Å.
Fractional positions:
Nd  0.0250  0.7778  0.0500  1 Ag 3.07, 2 Pt 3.14, 1 Nd 3.43
Nd  0.2020  0.3291  0.4041  1 Ag 2.98
Nd  0.3413  0.0276  0.6827  1 Pt 2.95, 3 Ag 3.07-3.19
Nd  0.9750  0.2222  0.9500  1 Ag 3.07, 2 Pt 3.14, 1 Nd 3.43
Nd  0.4111  0.5553  0.8223  1 Pt 3.22, 5 Nd 3.49-3.54
Nd  0.6587  0.9724  0.3173  1 Pt 2.95, 3 Ag 3.07-3.19
Nd  0.5889  0.4447  0.1777  1 Pt 3.22, 5 Nd 3.49-3.54
Nd  0.7980  0.6709  0.5959  1 Ag 2.98
Ag  0.1899  0.7452  0.3797  5 Nd 2.98-3.19
Ag  0.8101  0.2548  0.6203  5 Nd 2.98-3.19
Pt  0.5000  0.0000  0.0000  8 Nd 2.95-3.22

Properties
Final energy in eV per atom: -4.8000
E above lowest polymorph in kJ per mole of atoms: 0.0

Record 2
## Nd2Ag3Pt2 (PBE-GGA)

Data for an optimized crystal structure of Nd2Ag3Pt2.

Lattice parameters (Å, degrees): 4.2114 5.5269 7.1945 96.08 90.00 112.39
Last column: nearest neighbours and their distance in Å.
Fractional positions:
Ag  0.0000  0.0000  0.0000  2 Pt 2.82, 4 Ag 3.05
Ag  0.6922  0.3844  0.8862  2 Pt 2.82, 5 Ag 2.84-3.16
Ag  0.3078  0.6156  0.1138  2 Pt 2.82, 5 Ag 2.84-3.16
Pt  0.0949  0.1897  0.6476  1 Pt 2.71, 3 Ag 2.82, 1 Nd 2.92
Pt  0.9051  0.8103  0.3524  1 Pt 2.71, 3 Ag 2.82, 1 Nd 2.92
Nd  0.6188  0.2376  0.3368  5 Pt 2.92-3.10
Nd  0.3812  0.7624  0.6632  5 Pt 2.92-3.10

Properties
Final energy in eV per atom: -4.9174

Record 3
## Nd8Ag2Pt (PBE-GGA)

Data for an optimized crystal structure of Nd8Ag2Pt.

Lattice parameters (Å, degrees): 6.3292 9.2447 9.2447 130.91 102.86 102.86
Last column: nearest neighbours and their distance in Å.
Fractional positions:
Nd  0.9851  0.2017  0.8132  4 Ag 3.44-3.47, 5 Nd 3.63-3.78, 1 Pt 3.82
Nd  0.6499  0.3977  0.1611  1 Pt 2.89, 2 Ag 3.05-3.17
Nd  0.1204  0.2732  0.2732  1 Pt 2.83
Nd  0.2907  0.8375  0.6042  1 Pt 2.91, 2 Ag 3.12-3.24
Nd  0.6499  0.1611  0.3977  1 Pt 2.89, 2 Ag 3.05-3.17
Nd  0.7632  0.7288  0.7288  1 Pt 2.87
Nd  0.9851  0.8132  0.2017  4 Ag 3.44-3.47, 5 Nd 3.63-3.78, 1 Pt 3.82
Nd  0.2907  0.6042  0.8375  1 Pt 2.91, 2 Ag 3.12-3.24
Ag  0.4842  0.7317  0.2813  4 Nd 3.05-3.24
Ag  0.4842  0.2813  0.7317  4 Nd 3.05-3.24
Pt  0.2964  0.0036  0.0036  6 Nd 2.83-2.91

Properties
Final energy in eV per atom: -4.7495
E above lowest polymorph in kJ per mole of atoms: 4.9

Record 4
## NdAgPt2 (PBE-GGA)

Data for an optimized crystal structure of NdAgPt2.

Lattice parameters (Å, degrees): 4.1416 4.3263 4.3263 90.00 90.00 90.00
Last column: nearest neighbours and their distance in Å.
Fractional positions:
Nd  0.5000  0.5000  0.5000  8 Pt 2.99, 4 Ag 3.06
Pt  0.0000  0.5000  0.0000  4 Nd 2.99, 4 Ag 2.99, 4 Pt 3.06
Pt  0.0000  0.0000  0.5000  4 Nd 2.99, 4 Ag 2.99, 4 Pt 3.06
Ag  0.5000  0.0000  0.0000  8 Pt 2.99, 4 Nd 3.06

Properties
Final energy in eV per atom: -5.5928

Record 5
## Nd2Ag2Pt (PBE-GGA)

Data for an optimized crystal structure of Nd2Ag2Pt.

Lattice parameters (Å, degrees): 4.6456 4.6456 7.1940 90.00 108.84 120.00
Last column: nearest neighbours and their distance in Å.
Fractional positions:
Nd  0.8060  0.4030  0.2089  3 Pt 3.02, 3 Ag 3.18
Nd  0.1940  0.5970  0.7911  3 Pt 3.02, 3 Ag 3.18
Ag  0.3106  0.1553  0.4659  3 Ag 2.72
Ag  0.6894  0.8447  0.5341  3 Ag 2.72
Pt  0.0000  0.0000  0.0000  6 Nd 3.02, 2 Ag 3.11

Properties
Final energy in eV per atom: -4.8230

Record 6
## NdPuAgPt (PBE-GGA)

Data for an optimized crystal structure of NdPuAgPt.

Lattice parameters (Å, degrees): 5.1287 5.1287 5.1287 60.00 60.00 60.00
Last column: nearest neighbours and their distance in Å.
Fractional positions:
Pu  0.0000  0.0000  0.0000  4 Pt 3.14, 4 Ag 3.14
Ag  0.2500  0.2500  0.2500  4 Nd 3.14, 4 Pu 3.14
Nd  0.5000  0.5000  0.5000  4 Ag 3.14, 4 Pt 3.14
Pt  0.7500  0.7500  0.7500  4 Pu 3.14, 4 Nd 3.14

Properties
Final energy in eV per atom: -7.4612

Record 7
## Nd2AgSb3Pt4 (PBE-GGA)

Data for an optimized crystal structure of Nd2AgSb3Pt4.

Lattice parameters (Å, degrees): 4.5839 4.5839 10.6347 90.00 90.00 90.00
Last column: nearest neighbours and their distance in Å.
Fractional positions:
Pt  0.5000  0.5000  0.0000  4 Sb 2.68
Pt  0.0000  0.5000  0.3700  3 Sb 2.54-2.68, 2 Ag 2.68
Pt  0.5000  0.0000  0.6300  3 Sb 2.54-2.68, 2 Ag 2.68
Pt  0.0000  0.0000  0.0000  4 Sb 2.68
Sb  0.5000  0.0000  0.8691  5 Pt 2.54-2.68
Sb  0.0000  0.0000  0.5000  4 Pt 2.68
Sb  0.0000  0.5000  0.1309  5 Pt 2.54-2.68
Nd  0.5000  0.0000  0.2417  8 Pt 3.44-3.52, 6 Sb 3.45-3.58, 2 Ag 3.58
Nd  0.0000  0.5000  0.7583  8 Pt 3.44-3.52, 6 Sb 3.45-3.58, 2 Ag 3.58
Ag  0.5000  0.5000  0.5000  4 Pt 2.68

Properties
Raw formation energy in meV per atom: -754
Final energy in eV per atom: -5.6457

Record 8
## Nd2Si3AgPt12 (PBE-GGA)

Data for an optimized crystal structure of Nd2Si3AgPt12.

Lattice parameters (Å, degrees): 7.6402 7.6402 7.6402 66.24 66.24 66.24
Last column: nearest neighbours and their distance in Å.
Fractional positions:
Pt  0.6154  0.1370  0.1370  1 Si 2.31
Pt  0.1370  0.1370  0.6154  1 Si 2.31
Pt  0.1017  0.6477  0.6477  2 Si 2.39
Pt  0.3846  0.8630  0.8630  1 Si 2.31
Pt  0.6477  0.1017  0.6477  2 Si 2.39
Pt  0.3523  0.8983  0.3523  2 Si 2.39
Pt  0.6477  0.6477  0.1017  2 Si 2.39
Pt  0.8630  0.8630  0.3846  1 Si 2.31
Pt  0.8630  0.3846  0.8630  1 Si 2.31
Pt  0.8983  0.3523  0.3523  2 Si 2.39
Pt  0.1370  0.6154  0.1370  1 Si 2.31
Pt  0.3523  0.3523  0.8983  2 Si 2.39
Si  0.0000  0.0000  0.5000  6 Pt 2.31-2.39
Si  0.0000  0.5000  0.0000  6 Pt 2.31-2.39
Si  0.5000  0.0000  0.0000  6 Pt 2.31-2.39
Ag  0.0000  0.0000  0.0000  6 Pt 2.60
Nd  0.3911  0.3911  0.3911  6 Pt 2.85-2.95
Nd  0.6089  0.6089  0.6089  6 Pt 2.85-2.95

Properties
Raw formation energy in meV per atom: -404
Final energy in eV per atom: -6.0229

Record 9
## Nd2Si4AgPt3 (PBE-GGA)

Data for an optimized crystal structure of Nd2Si4AgPt3.

Lattice parameters (Å, degrees): 4.2861 4.2861 9.9817 90.00 90.00 90.00
Last column: nearest neighbours and their distance in Å.
Fractional positions:
Pt  0.0000  0.5000  0.1172  5 Si 2.43-2.44
Pt  0.5000  0.0000  0.8828  5 Si 2.43-2.44
Pt  0.0000  0.0000  0.5000  4 Si 2.56
Nd  0.0000  0.5000  0.7553  8 Si 3.24-3.25, 7 Pt 3.29-3.61, 2 Ag 3.33
Nd  0.5000  0.0000  0.2447  8 Si 3.24-3.25, 7 Pt 3.29-3.61, 2 Ag 3.33
Si  0.5000  0.5000  0.0000  4 Pt 2.44
Si  0.0000  0.5000  0.3602  3 Pt 2.43-2.56, 2 Ag 2.56
Si  0.5000  0.0000  0.6398  3 Pt 2.43-2.56, 2 Ag 2.56
Si  0.0000  0.0000  0.0000  4 Pt 2.44
Ag  0.5000  0.5000  0.5000  4 Si 2.56

Properties
Raw formation energy in meV per atom: -954
Final energy in eV per atom: -6.1739

Record 10
## Nd2Si3AgPt4 (PBE-GGA)

Data for an optimized crystal structure of Nd2Si3AgPt4.

Lattice parameters (Å, degrees): 4.3113 4.3113 10.1339 90.00 90.00 90.00
Last column: nearest neighbours and their distance in Å.
Fractional positions:
Si  0.5000  0.0000  0.8777  5 Pt 2.33-2.49
Si  0.0000  0.5000  0.1223  5 Pt 2.33-2.49
Si  0.0000  0.0000  0.5000  4 Pt 2.62
Pt  0.0000  0.5000  0.3527  1 Si 2.33
Pt  0.5000  0.5000  0.0000  4 Si 2.49
Pt  0.0000  0.0000  0.0000  4 Si 2.49
Pt  0.5000  0.0000  0.6473  1 Si 2.33
Ag  0.5000  0.5000  0.5000  4 Pt 2.62
Nd  0.0000  0.5000  0.7469  8 Pt 3.21-3.35, 2 Ag 3.30, 6 Si 3.30-3.32
Nd  0.5000  0.0000  0.2531  8 Pt 3.21-3.35, 2 Ag 3.30, 6 Si 3.30-3.32

Properties
Raw formation energy in meV per atom: -925
Final energy in eV per atom: -6.2065